The following is a PBE calculation of a relaxed structure of KAu3S, from Alexandria via LeMat-Bulk.

Cell and atoms, written as CIF:
```
data_KAu3S
_cell_length_a 5.497
_cell_length_b 5.497
_cell_length_c 5.497
_cell_angle_alpha 90.00
_cell_angle_beta 90.00
_cell_angle_gamma 90.00
_space_group_name_H-M_alt 'P m -3 m'
_space_group_IT_number 221
_space_group_name_Hall '-P 4 2 3'
loop_
_atom_site_label
_atom_site_type_symbol
_atom_site_fract_x
_atom_site_fract_y
_atom_site_fract_z
K1 K 0.000 0.000 0.000
Au1 Au 0.000 0.000 0.500
S1 S 0.500 0.500 0.500
```

Formation energy from raw total energies = 1.527 eV per atom
Volume = 166 Å³/cell
Energy relative to the lowest polymorph listed for this composition = 1479 meV/atom



The following is a PBE calculation of a relaxed structure of K4Au6S5, from Alexandria via LeMat-Bulk.

Cell and atoms, written as CIF:
```
data_K4Au6S5
_cell_length_a 9.7981
_cell_length_b 9.7981
_cell_length_c 10.1214
_cell_angle_alpha 90.00
_cell_angle_beta 90.00
_cell_angle_gamma 120.00
_space_group_name_H-M_alt 'P -6 2 c'
_space_group_IT_number 190
_space_group_name_Hall 'P -6c -2c'
loop_
_atom_site_label
_atom_site_type_symbol
_atom_site_fract_x
_atom_site_fract_y
_atom_site_fract_z
K1 K 0.0000 0.0000 0.0000
K2 K 0.0725 0.6549 0.2500
Au1 Au 0.1671 0.4495 0.5882
S1 S 0.0338 0.2588 0.7500
S2 S 0.3333 0.6667 0.0461
```

Formation energy from raw total energies = -0.648 eV per atom
Volume = 842 Å³/cell



The following is a PBE calculation of a relaxed structure of K3AuS2, from Alexandria via LeMat-Bulk.

Cell and atoms, written as CIF:
```
data_K3AuS2
_cell_length_a 7.059
_cell_length_b 13.071
_cell_length_c 8.449
_cell_angle_alpha 90.00
_cell_angle_beta 90.00
_cell_angle_gamma 90.00
_space_group_name_H-M_alt 'I b a m'
_space_group_IT_number 72
_space_group_name_Hall '-I 2 2c'
loop_
_atom_site_label
_atom_site_type_symbol
_atom_site_fract_x
_atom_site_fract_y
_atom_site_fract_z
K1 K 0.000 0.000 0.250
K2 K 0.000 0.280 0.250
Au1 Au 0.000 0.500 0.000
S1 S 0.247 0.120 0.000
```

Formation energy from raw total energies = -0.922 eV per atom
Volume = 780 Å³/cell



The following is a PBE calculation of a relaxed structure of KAuS, from Alexandria via LeMat-Bulk.

Cell and atoms, written as CIF:
```
data_KAuS
_cell_length_a 4.3283
_cell_length_b 4.3283
_cell_length_c 4.7971
_cell_angle_alpha 90.00
_cell_angle_beta 90.00
_cell_angle_gamma 120.00
_space_group_name_H-M_alt 'P -6 m 2'
_space_group_IT_number 187
_space_group_name_Hall 'P -6 2'
loop_
_atom_site_label
_atom_site_type_symbol
_atom_site_fract_x
_atom_site_fract_y
_atom_site_fract_z
K1 K 0.0000 0.0000 0.0000
Au1 Au 0.6667 0.3333 0.5000
S1 S 0.3333 0.6667 0.5000
```

Formation energy from raw total energies = -0.629 eV per atom
Volume = 78 Å³/cell



> Number 3 is which compound?

K3AuS2



> What is the formation energy from raw total energies in the first record?

1.527 eV per atom